Compound: CsPaP2
Source: the Alexandria database
Functional: PBE
Structure: relaxed

```
data_CsPaP2
_chemical_formula_sum 'Cs3 Pa3 P6'
_space_group_name_H-M_alt 'R 3 m'
_space_group_IT_number 160
_space_group_name_Hall 'R 3 -2"'
_cell_length_a 4.2019
_cell_length_b 4.2019
_cell_length_c 24.6287
_cell_angle_alpha 90.00
_cell_angle_beta 90.00
_cell_angle_gamma 120.00
loop_
_atom_site_label
_atom_site_fract_x
_atom_site_fract_y
_atom_site_fract_z
Cs1 0.0000 0.0000 0.0000
Pa1 0.0000 0.0000 0.1692
P1 0.0000 0.0000 0.5575
P2 0.0000 0.0000 0.7815
```

ΔE_f	-0.8168	eV per atom
ΔE to the lowest computed polymorph	20.9	meV/atom
total energy	-6.109	eV per atom
size of the total moment	0.00	Bohr magnetons per cell

***

Compound: YScMn2
Source: the Alexandria database
Functional: PBE
Structure: relaxed

```
data_YScMn2
_chemical_formula_sum 'Y2 Sc2 Mn4'
_space_group_name_H-M_alt 'I m m 2'
_space_group_IT_number 44
_cell_length_a 3.326
_cell_length_b 4.684
_cell_length_c 10.221
_cell_angle_alpha 90.00
_cell_angle_beta 90.00
_cell_angle_gamma 90.00
loop_
_space_group_symop_operation_xyz
'x,y,z'
'-x,-y,z'
'-x,y,z'
'x,-y,z'
'x+1/2,y+1/2,z+1/2'
'-x+1/2,-y+1/2,z+1/2'
'-x+1/2,y+1/2,z+1/2'
'x+1/2,-y+1/2,z+1/2'
loop_
_atom_site_label
_atom_site_fract_x
_atom_site_fract_y
_atom_site_fract_z
Y1 0.000 0.000 0.000
Sc1 0.000 0.500 0.223
Mn1 0.000 0.000 0.434
Mn2 0.000 0.500 0.775
```

ΔE_f	0.1570	eV per atom
total energy	-7.627	eV per atom
size of the total moment	0.14	Bohr magnetons per cell

***

Compound: Li2TlFeGe
Source: the Alexandria database
Functional: PBE
Structure: relaxed

```
data_Li2TlFeGe
_chemical_formula_sum 'Li2 Tl1 Fe1 Ge1'
_space_group_name_H-M_alt 'P 4/m m m'
_space_group_IT_number 123
_space_group_name_Hall '-P 4 2'
_cell_length_a 4.691
_cell_length_b 4.691
_cell_length_c 5.420
_cell_angle_alpha 90.00
_cell_angle_beta 90.00
_cell_angle_gamma 90.00
loop_
_atom_site_label
_atom_site_fract_x
_atom_site_fract_y
_atom_site_fract_z
Li1 0.000 0.500 0.000
Tl1 0.000 0.000 0.500
Fe1 0.500 0.500 0.500
Ge1 0.000 0.000 0.000
```

ΔE_f	0.6721	eV per atom
total energy	-3.183	eV per atom
size of the total moment	3.39	Bohr magnetons per cell

***

Compound: Mg3N
Source: the Alexandria database
Functional: PBE
Structure: relaxed

```
data_Mg3N
_chemical_formula_sum 'Mg6 N2'
_space_group_name_H-M_alt 'P 63/m m c'
_space_group_IT_number 194
_space_group_name_Hall '-P 6c 2c'
_cell_length_a 7.7519
_cell_length_b 7.7519
_cell_length_c 2.9671
_cell_angle_alpha 90.00
_cell_angle_beta 90.00
_cell_angle_gamma 120.00
loop_
_atom_site_label
_atom_site_fract_x
_atom_site_fract_y
_atom_site_fract_z
Mg1 0.2135 0.4269 0.2500
N1 0.3333 0.6667 0.7500
```

total energy	-3.339	eV per atom
size of the total moment	0.00	Bohr magnetons per cell
raw formation energy	-0.062	eV per atom

***

Compound: UAlS
Source: the Alexandria database
Functional: PBE
Structure: relaxed

```
data_UAlS
_chemical_formula_sum 'U2 Al2 S2'
_space_group_name_H-M_alt 'P 4/n m m'
_space_group_IT_number 129
_cell_length_a 3.798
_cell_length_b 3.798
_cell_length_c 8.349
_cell_angle_alpha 90.00
_cell_angle_beta 90.00
_cell_angle_gamma 90.00
loop_
_space_group_symop_operation_xyz
'x,y,z'
'-x,-y,-z'
'-y+1/2,x,z'
'y+1/2,-x,-z'
'-x+1/2,-y+1/2,z'
'x+1/2,y+1/2,-z'
'y,-x+1/2,z'
'-y,x+1/2,-z'
'x+1/2,-y,-z'
'-x+1/2,y,z'
'-y,-x,-z'
'y,x,z'
'-x,y+1/2,-z'
'x,-y+1/2,z'
'y+1/2,x+1/2,-z'
'-y+1/2,-x+1/2,z'
loop_
_atom_site_label
_atom_site_fract_x
_atom_site_fract_y
_atom_site_fract_z
U1 0.250 0.250 0.177
Al1 0.250 0.250 0.550
S1 0.250 0.250 0.845
```

total energy	-7.068	eV per atom
size of the total moment	5.22	Bohr magnetons per cell
raw formation energy	-0.682	eV per atom

***

Compound: Bi3TeS6
Source: the Alexandria database
Functional: PBE
Structure: relaxed

```
data_Bi3TeS6
_chemical_formula_sum 'Bi12 Te4 S24'
_space_group_name_H-M_alt 'C m c 21'
_space_group_IT_number 36
_cell_length_a 11.128
_cell_length_b 13.939
_cell_length_c 6.930
_cell_angle_alpha 90.00
_cell_angle_beta 90.00
_cell_angle_gamma 90.00
loop_
_space_group_symop_operation_xyz
'x,y,z'
'-x,-y,z+1/2'
'-x,y,z'
'x,-y,z+1/2'
'x+1/2,y+1/2,z'
'-x+1/2,-y+1/2,z+1/2'
'-x+1/2,y+1/2,z'
'x+1/2,-y+1/2,z+1/2'
loop_
_atom_site_label
_atom_site_fract_x
_atom_site_fract_y
_atom_site_fract_z
Bi1 0.000 0.091 0.000
Bi2 0.201 0.378 0.926
Te1 0.000 0.361 0.431
S1 0.000 0.276 0.740
S2 0.000 0.479 0.102
S3 0.156 0.232 0.188
S4 0.162 0.027 0.706
```

total energy	-4.086	eV per atom
size of the total moment	0.00	Bohr magnetons per cell
raw formation energy	-0.131	eV per atom

***

Compound: DyEr2Tm2Mg5
Source: the Alexandria database
Functional: PBE
Structure: relaxed

```
data_DyEr2Tm2Mg5
_chemical_formula_sum 'Dy2 Er4 Tm4 Mg10'
_space_group_name_H-M_alt 'P 4/m b m'
_space_group_IT_number 127
_space_group_name_Hall '-P 4 2ab'
_cell_length_a 10.501
_cell_length_b 10.501
_cell_length_c 5.042
_cell_angle_alpha 90.00
_cell_angle_beta 90.00
_cell_angle_gamma 90.00
loop_
_atom_site_label
_atom_site_fract_x
_atom_site_fract_y
_atom_site_fract_z
Dy1 0.000 0.000 0.000
Er1 0.178 0.322 0.000
Tm1 0.118 0.618 0.000
Mg1 0.000 0.500 0.500
Mg2 0.075 0.803 0.500
```

ΔE_f	0.0892	eV per atom
total energy	-2.975	eV per atom
size of the total moment	0.00	Bohr magnetons per cell

***

Compound: CaPr4Sm5
Source: the Alexandria database
Functional: PBE
Structure: relaxed

```
data_CaPr4Sm5
_chemical_formula_sum 'Ca1 Pr4 Sm5'
_space_group_name_H-M_alt 'P 4/m m m'
_space_group_IT_number 123
_space_group_name_Hall '-P 4 2'
_cell_length_a 3.699
_cell_length_b 3.699
_cell_length_c 25.994
_cell_angle_alpha 90.00
_cell_angle_beta 90.00
_cell_angle_gamma 90.00
loop_
_atom_site_label
_atom_site_fract_x
_atom_site_fract_y
_atom_site_fract_z
Ca1 0.000 0.000 0.000
Pr1 0.000 0.000 0.201
Pr2 0.000 0.000 0.400
Sm1 0.500 0.500 0.107
Sm2 0.500 0.500 0.302
Sm3 0.500 0.500 0.500
```

ΔE_f	0.0296	eV per atom
total energy	-4.442	eV per atom
size of the total moment	0.00	Bohr magnetons per cell

***

Compound: CoRePt4
Source: the Alexandria database
Functional: PBE
Structure: relaxed

```
data_CoRePt4
_chemical_formula_sum 'Co4 Re4 Pt16'
_space_group_name_H-M_alt 'F -4 3 m'
_space_group_IT_number 216
_space_group_name_Hall 'F -4 2 3'
_cell_length_a 7.301
_cell_length_b 7.301
_cell_length_c 7.301
_cell_angle_alpha 90.00
_cell_angle_beta 90.00
_cell_angle_gamma 90.00
loop_
_atom_site_label
_atom_site_fract_x
_atom_site_fract_y
_atom_site_fract_z
Co1 0.000 0.000 0.000
Re1 0.250 0.250 0.250
Pt1 0.125 0.125 0.625
```

ΔE_f	0.5689	eV per atom
total energy	-6.717	eV per atom
size of the total moment	12.89	Bohr magnetons per cell

***

Compound: Li5Ga2Ag12
Source: the Alexandria database
Functional: PBE
Structure: relaxed

```
data_Li5Ga2Ag12
_chemical_formula_sum 'Li10 Ga4 Ag24'
_space_group_name_H-M_alt 'C 1 2/m 1'
_space_group_IT_number 12
_cell_length_a 15.472
_cell_length_b 5.464
_cell_length_c 8.730
_cell_angle_alpha 90.00
_cell_angle_beta 107.04
_cell_angle_gamma 90.00
loop_
_space_group_symop_operation_xyz
'x,y,z'
'-x,-y,-z'
'-x,y,-z'
'x,-y,z'
'x+1/2,y+1/2,z'
'-x+1/2,-y+1/2,-z'
'-x+1/2,y+1/2,-z'
'x+1/2,-y+1/2,z'
loop_
_atom_site_label
_atom_site_fract_x
_atom_site_fract_y
_atom_site_fract_z
Li1 0.000 0.000 0.000
Li2 0.137 0.500 0.363
Li3 0.203 0.500 0.892
Ga1 0.000 0.258 0.500
Ag1 0.020 0.500 0.839
Ag2 0.094 0.000 0.790
Ag3 0.147 0.250 0.107
Ag4 0.201 0.248 0.619
```

ΔE_f	0.0177	eV per atom
ΔE to the lowest computed polymorph	128.8	meV/atom
total energy	-2.605	eV per atom
size of the total moment	0.00	Bohr magnetons per cell

***

Compound: ZnSe2SN
Source: the Alexandria database
Functional: PBE
Structure: relaxed

```
data_ZnSe2SN
_chemical_formula_sum 'Zn1 Se2 S1 N1'
_space_group_name_H-M_alt 'P 4/m m m'
_space_group_IT_number 123
_space_group_name_Hall '-P 4 2'
_cell_length_a 5.047
_cell_length_b 5.047
_cell_length_c 3.644
_cell_angle_alpha 90.00
_cell_angle_beta 90.00
_cell_angle_gamma 90.00
loop_
_atom_site_label
_atom_site_fract_x
_atom_site_fract_y
_atom_site_fract_z
Zn1 0.000 0.000 0.000
Se1 0.000 0.500 0.000
S1 0.500 0.500 0.500
N1 0.000 0.000 0.500
```

ΔE to the lowest computed polymorph	351.1	meV/atom
total energy	-2.940	eV per atom
size of the total moment	0.00	Bohr magnetons per cell
raw formation energy	1.199	eV per atom

***

Compound: LaSnGe2Rh5
Source: the Alexandria database
Functional: PBE
Structure: relaxed

```
data_LaSnGe2Rh5
_chemical_formula_sum 'La1 Sn1 Ge2 Rh5'
_space_group_name_H-M_alt 'P 4/m m m'
_space_group_IT_number 123
_space_group_name_Hall '-P 4 2'
_cell_length_a 4.132
_cell_length_b 4.132
_cell_length_c 10.612
_cell_angle_alpha 90.00
_cell_angle_beta 90.00
_cell_angle_gamma 90.00
loop_
_atom_site_label
_atom_site_fract_x
_atom_site_fract_y
_atom_site_fract_z
La1 0.000 0.000 0.000
Sn1 0.000 0.000 0.500
Ge1 0.500 0.500 0.226
Rh1 0.000 0.500 0.343
Rh2 0.500 0.500 0.000
```

ΔE_f	-0.4885	eV per atom
total energy	-6.591	eV per atom
size of the total moment	0.00	Bohr magnetons per cell

***

> Look up the total energy of the tenth one.

-2.605 eV per atom

***

> What is the size of the total moment in the ninth record?

12.89 Bohr magnetons per cell